[1]
First-principles (PBE) data for an optimized crystal structure of Ba2ReMo, as listed in Alexandria.

Unit cell a=3.7862 b=5.7032 c=11.5528 alpha=90.00 beta=90.00 gamma=90.00
With the nearest neighbours (Å) after each atom.
Space group Imm2 (No. 44)
Symmetry-distinct sites (fractional):
Ba1 0.0000 0.0000 0.0000 x2  4 Re 3.53, 2 Mo 3.67, 6 Ba 3.79
Ba2 0.0000 0.5000 0.2162 x2  4 Mo 3.56, 4 Re 3.75-3.85, 6 Ba 3.79
Re1 0.0000 0.0000 0.4265 x2  2 Mo 2.39
Mo1 0.0000 0.5000 0.8005 x2  2 Re 2.39

uncorrected energy = -6.01 eV/atom
crystal system = orthorhombic
D(E_F) = 4.98 states/eV/f.u.
energy of formation from the pure elements = 3.1 eV per formula unit

=====

[2]
First-principles (PBE) data for an optimized crystal structure of SrSc3, as listed in Alexandria.

Unit cell a=3.7477 b=3.7743 c=8.6651 alpha=90.00 beta=90.12 gamma=90.00
With the nearest neighbours (Å) after each atom.
Space group P2/m (No. 10)
Symmetry-distinct sites (fractional):
Sr1 0.0000 0.0000 0.0000 x1  4 Sr 3.75-3.77, 8 Sc 3.78-3.79
Sc1 0.0000 0.0000 0.5000 x1  8 Sc 3.12-3.13
Sc2 0.4998 0.5000 0.3109 x2  5 Sc 3.12-3.28

uncorrected energy = -4.98 eV/atom
crystal system = monoclinic
D(E_F) = 6.30 states/eV/f.u.
energy of formation from the pure elements = 0.8 eV per formula unit